[1]
DFT (PBE-GGA) results for crystalline TeF3 at its relaxed geometry.

Calculated volume   11.9 Å³/atom
Total energy   -3.336 eV per atom
DOS at the Fermi energy   0.700 states/eV per atom

a b c (Å): 4.0644 4.0644 4.0644
angles (deg): 60.00 60.00 60.00
Closest atoms and distances in Å follow each position.
Fractional coordinates of all 4 atoms:
F 0.2500 0.2500 0.2500  4 F 2.49, 4 Te 2.49
F 0.0000 0.0000 0.0000  8 F 2.49
F 0.7500 0.7500 0.7500  4 Te 2.49, 4 F 2.49
Te 0.5000 0.5000 0.5000  8 F 2.49

***

[2]
DFT (PBE-GGA) results for crystalline ReI2N at its relaxed geometry.

Calculated volume   18.5 Å³/atom
Total energy   -4.015 eV per atom
DOS at the Fermi energy   0.725 states/eV per atom

a b c (Å): 4.7086 4.7086 4.7086
angles (deg): 60.00 60.00 60.00
Closest atoms and distances in Å follow each position.
Fractional coordinates of all 4 atoms:
Re 0.5000 0.5000 0.5000  8 I 2.88
N 0.0000 0.0000 0.0000  8 I 2.88
I 0.7500 0.7500 0.7500  4 Re 2.88, 4 N 2.88
I 0.2500 0.2500 0.2500  4 Re 2.88, 4 N 2.88

***

[3]
DFT (PBE-GGA) results for crystalline InFeNi2B at its relaxed geometry.

Calculated volume   11.9 Å³/atom
Total energy   -5.999 eV per atom
DOS at the Fermi energy   0.544 states/eV per atom
ΔH_f (0 K)   -0.111 eV per atom

a b c (Å): 3.9168 3.9168 3.8933
angles (deg): 90.00 90.00 90.00
Closest atoms and distances in Å follow each position.
Fractional coordinates of all 5 atoms:
Ni 0.5000 0.0000 0.0000  2 B 1.96
Ni 0.0000 0.5000 0.0000  2 B 1.96
Fe 0.0000 0.0000 0.5000  2 B 1.95
In 0.5000 0.5000 0.5000  8 Ni 2.76, 4 Fe 2.77
B 0.0000 0.0000 0.0000  2 Fe 1.95, 4 Ni 1.96